Material: PmSmMgAl
Method: DFT, PBE
State: optimized geometry

The calculation puts the size of the total moment at 0.000 μB per atom. The calculation puts the total energy at -3.97 eV/atom.

Unit cell a=7.522 b=7.522 c=7.522 alpha=90.00 beta=90.00 gamma=90.00
Space group F-43m (No. 216)
Asymmetric unit:
Pm (0.000, 0.000, 0.000) x4
Sm (0.000, 0.000, 0.500) x4
Mg (0.250, 0.250, 0.250) x4
Al (0.250, 0.250, 0.750) x4

Material: LiYBi2
Method: DFT, PBE
State: optimized geometry

The calculation puts the size of the total moment at 0.000 μB per atom. The calculation puts the total energy at -4.57 eV/atom.

Unit cell a=5.055 b=5.055 c=4.236 alpha=90.00 beta=90.00 gamma=90.00
Space group P4/mmm (No. 123)
Asymmetric unit:
Li (0.000, 0.000, 0.000) x1
Y (0.500, 0.500, 0.000) x1
Bi (0.000, 0.500, 0.500) x2

Material: CsCaNb
Method: DFT, PBE
State: optimized geometry

The calculation puts the size of the total moment at 0.000 μB per atom. The calculation puts the total energy at -3.60 eV/atom.

Unit cell a=5.7242 b=5.7242 c=12.3722 alpha=90.00 beta=90.00 gamma=120.00
Space group P-3m1 (No. 164)
Asymmetric unit:
Cs (0.3333, 0.6667, 0.3137) x2
Ca (0.3333, 0.6667, 0.9629) x2
Nb (0.0000, 0.0000, 0.0880) x2

Material: Ag5Hg2Au4
Method: DFT, PBE
State: optimized geometry

The calculation puts the size of the total moment at 0.000 μB per atom. The calculation puts the total energy at -2.50 eV/atom.

Unit cell a=8.259 b=2.895 c=9.049 alpha=90.00 beta=96.82 gamma=90.00
Space group P2/m (No. 10)
Asymmetric unit:
Ag (0.000, 0.000, 0.000) x1
Ag (0.162, 0.000, 0.459) x2
Ag (0.334, 0.000, 0.946) x2
Hg (0.461, 0.000, 0.662) x2
Au (0.103, 0.500, 0.731) x2
Au (0.243, 0.500, 0.200) x2

Material: NaSmHoGa
Method: DFT, PBE
State: optimized geometry

The calculation puts the size of the total moment at 0.000 μB per atom. The calculation puts the total energy at -3.54 eV/atom.

Unit cell a=7.449 b=7.449 c=7.449 alpha=90.00 beta=90.00 gamma=90.00
Space group F-43m (No. 216)
Asymmetric unit:
Na (0.000, 0.000, 0.000) x4
Sm (0.250, 0.250, 0.250) x4
Ho (0.250, 0.250, 0.750) x4
Ga (0.000, 0.000, 0.500) x4

Material: SmMgZrZn
Method: DFT, PBE
State: optimized geometry

The calculation puts the size of the total moment at 0.000 μB per atom. The calculation puts the total energy at -4.08 eV/atom.

Unit cell a=7.145 b=7.145 c=7.145 alpha=90.00 beta=90.00 gamma=90.00
Space group F-43m (No. 216)
Asymmetric unit:
Sm (0.000, 0.000, 0.000) x4
Mg (0.250, 0.250, 0.250) x4
Zr (0.000, 0.000, 0.500) x4
Zn (0.250, 0.250, 0.750) x4

Material: TaTl3Bi
Method: DFT, PBE
State: optimized geometry

The calculation puts the size of the total moment at 0.733 μB per atom. The calculation puts the total energy at -3.00 eV/atom.

Unit cell a=5.891 b=5.891 c=5.891 alpha=90.00 beta=90.00 gamma=90.00
Space group Pm-3m (No. 221)
Asymmetric unit:
Ta (0.000, 0.000, 0.000) x1
Tl (0.000, 0.500, 0.500) x3
Bi (0.500, 0.500, 0.500) x1

Material: NdPaTl
Method: DFT, PBE
State: optimized geometry

The calculation puts the size of the total moment at 0.349 μB per atom. The calculation puts the total energy at -5.27 eV/atom.

Unit cell a=6.051 b=9.545 c=12.490 alpha=90.00 beta=90.00 gamma=90.00
Space group Fmmm (No. 69)
Asymmetric unit:
Nd (0.000, 0.183, 0.000) x8
Pa (0.250, 0.250, 0.250) x8
Tl (0.000, 0.000, 0.379) x8

Material: Dy3Th2Ru2
Method: DFT, PBE
State: optimized geometry

The calculation puts the size of the total moment at 0.000 μB per atom. The calculation puts the total energy at -7.08 eV/atom.

Unit cell a=3.821 b=6.284 c=8.786 alpha=101.08 beta=102.52 gamma=107.63
Space group P-1 (No. 2)
Asymmetric unit:
Dy (0.000, 0.000, 0.000) x1
Dy (0.302, 0.184, 0.420) x2
Th (0.139, 0.473, 0.807) x2
Ru (0.453, 0.145, 0.763) x2

Material: Li2SmUO6
Method: DFT, PBE
State: optimized geometry

The calculation puts the size of the total moment at 0.085 μB per atom. The uncorrected formation energy comes out at -26.410 eV per formula unit. The calculation puts the total energy at -7.60 eV/atom.

Unit cell a=5.590 b=5.678 c=9.862 alpha=90.00 beta=124.32 gamma=90.00
Space group P2_1/c (No. 14)
Asymmetric unit:
Li (0.218, 0.014, 0.242) x4
Sm (0.000, 0.000, 0.500) x2
U (0.500, 0.000, 0.000) x2
O (0.140, 0.097, 0.768) x4
O (0.242, 0.645, 0.565) x4
O (0.444, 0.180, 0.579) x4

Material: Na2CuCl2F2
Method: DFT, PBE
State: optimized geometry

The calculation puts the size of the total moment at 0.144 μB per atom. The uncorrected formation energy comes out at -11.966 eV per formula unit. The calculation puts the total energy at -3.73 eV/atom.

Unit cell a=4.093 b=4.093 c=14.329 alpha=90.00 beta=90.00 gamma=90.00
Space group I4/mmm (No. 139)
Asymmetric unit:
Na (0.000, 0.000, 0.124) x4
Cu (0.000, 0.000, 0.500) x2
Cl (0.000, 0.000, 0.336) x4
F (0.000, 0.500, 0.000) x4

Material: Ca3Sm3Rh4
Method: DFT, PBE
State: optimized geometry

The calculation puts the size of the total moment at 0.000 μB per atom. The calculation puts the total energy at -5.49 eV/atom.

Unit cell a=3.682 b=11.341 c=11.500 alpha=90.00 beta=90.00 gamma=90.00
Space group Amm2 (No. 38)
Asymmetric unit:
Ca (0.000, 0.000, 0.000) x2
Ca (0.500, 0.246, 0.101) x4
Sm (0.000, 0.000, 0.702) x2
Sm (0.000, 0.150, 0.352) x4
Rh (0.500, 0.000, 0.213) x2
Rh (0.500, 0.000, 0.500) x2
Rh (0.500, 0.149, 0.842) x4

Material: FeSiRh2
Method: DFT, PBE
State: optimized geometry

The calculation puts the size of the total moment at 0.887 μB per atom. The uncorrected formation energy comes out at -1.642 eV per formula unit. The calculation puts the total energy at -7.56 eV/atom.

Unit cell a=5.629 b=6.630 c=2.816 alpha=90.00 beta=90.00 gamma=90.00
Space group Cmmm (No. 65)
Asymmetric unit:
Fe (0.000, 0.000, 0.000) x2
Si (0.000, 0.500, 0.000) x2
Rh (0.250, 0.250, 0.500) x4

Material: K2MnV
Method: DFT, PBE
State: optimized geometry

The calculation puts the size of the total moment at 0.123 μB per atom. The calculation puts the total energy at -4.04 eV/atom.

Unit cell a=12.589 b=12.589 c=4.524 alpha=90.00 beta=90.00 gamma=90.00
Space group I-42d (No. 122)
Asymmetric unit:
K (0.087, 0.250, 0.125) x8
Mn (0.000, 0.000, 0.000) x4
V (0.000, 0.000, 0.500) x4

Material: MgIn3Ni
Method: DFT, PBE
State: optimized geometry

The calculation puts the size of the total moment at 0.000 μB per atom. The calculation puts the total energy at -3.16 eV/atom.

Unit cell a=10.099 b=8.199 c=6.915 alpha=90.00 beta=127.08 gamma=90.00
Space group C2/m (No. 12)
Asymmetric unit:
Mg (0.067, 0.000, 0.256) x4
In (0.071, 0.500, 0.346) x4
In (0.197, 0.198, 0.746) x8
Ni (0.249, 0.500, 0.898) x4

Material: ScI2N2
Method: DFT, PBE
State: optimized geometry

The calculation puts the size of the total moment at 0.000 μB per atom. The uncorrected formation energy comes out at 7.481 eV per formula unit. The calculation puts the total energy at -3.72 eV/atom.

Unit cell a=4.158 b=4.158 c=6.585 alpha=90.00 beta=90.00 gamma=90.00
Space group P4/mmm (No. 123)
Asymmetric unit:
Sc (0.000, 0.000, 0.000) x1
I (0.500, 0.500, 0.000) x1
I (0.500, 0.500, 0.500) x1
N (0.000, 0.500, 0.500) x2

Material: LiPtCl
Method: DFT, PBE
State: optimized geometry

The calculation puts the size of the total moment at 0.000 μB per atom. The uncorrected formation energy comes out at -0.980 eV per formula unit. The calculation puts the total energy at -3.59 eV/atom.

Unit cell a=3.839 b=3.839 c=7.663 alpha=90.00 beta=90.00 gamma=90.00
Space group P4/nmm (No. 129, origin choice 2)
Asymmetric unit:
Li (0.250, 0.250, 0.195) x2
Pt (0.250, 0.250, 0.528) x2
Cl (0.250, 0.750, 0.000) x2

Material: Ac2ScZnHg6
Method: DFT, PBE
State: optimized geometry

The calculation puts the size of the total moment at 0.000 μB per atom. The calculation puts the total energy at -1.95 eV/atom.

Unit cell a=10.558 b=10.558 c=10.558 alpha=90.00 beta=90.00 gamma=90.00
Space group Fm-3m (No. 225)
Asymmetric unit:
Ac (0.250, 0.250, 0.250) x8
Sc (0.000, 0.000, 0.000) x4
Zn (0.000, 0.000, 0.500) x4
Hg (0.000, 0.000, 0.256) x24

Material: V3TeAs
Method: DFT, PBE
State: optimized geometry

The calculation puts the size of the total moment at 1.657 μB per atom. The uncorrected formation energy comes out at 2.610 eV per formula unit. The calculation puts the total energy at -6.51 eV/atom.

Unit cell a=4.736 b=4.736 c=4.736 alpha=90.00 beta=90.00 gamma=90.00
Space group Pm-3m (No. 221)
Asymmetric unit:
V (0.000, 0.000, 0.500) x3
Te (0.500, 0.500, 0.500) x1
As (0.000, 0.000, 0.000) x1

Material: CoTe2As
Method: DFT, PBE
State: optimized geometry

The calculation puts the size of the total moment at 0.000 μB per atom. The uncorrected formation energy comes out at 0.117 eV per formula unit. The calculation puts the total energy at -4.48 eV/atom.

Unit cell a=3.123 b=3.123 c=9.938 alpha=90.00 beta=90.00 gamma=90.00
Space group P4mm (No. 99)
Asymmetric unit:
Co (0.000, 0.000, 0.000) x1
Te (0.000, 0.000, 0.745) x1
Te (0.500, 0.500, 0.365) x1
As (0.500, 0.500, 0.080) x1

Material: WAuN2
Method: DFT, PBE
State: optimized geometry

The calculation puts the size of the total moment at 0.000 μB per atom. The uncorrected formation energy comes out at 0.181 eV per formula unit. The calculation puts the total energy at -8.17 eV/atom.

Unit cell a=2.9900 b=2.9900 c=19.7216 alpha=90.00 beta=90.00 gamma=120.00
Space group R-3m (No. 166, hexagonal axes)
Asymmetric unit:
W (0.0000, 0.0000, 0.0000) x3
Au (0.0000, 0.0000, 0.5000) x3
N (0.0000, 0.0000, 0.3927) x6

Material: K5C3
Method: DFT, PBE
State: optimized geometry

The calculation puts the size of the total moment at 0.875 μB per atom. The calculation puts the total energy at -2.48 eV/atom.

Unit cell a=8.026 b=12.968 c=4.645 alpha=90.00 beta=90.00 gamma=90.00
Space group Cmmm (No. 65)
Asymmetric unit:
K (0.000, 0.000, 0.000) x2
K (0.204, 0.500, 0.500) x4
K (0.250, 0.250, 0.000) x4
C (0.000, 0.152, 0.500) x4
C (0.000, 0.500, 0.000) x2

Material: PmZnPt4
Method: DFT, PBE
State: optimized geometry

The calculation puts the size of the total moment at 0.000 μB per atom. The calculation puts the total energy at -5.80 eV/atom.

Unit cell a=7.611 b=7.611 c=7.611 alpha=90.00 beta=90.00 gamma=90.00
Space group F-43m (No. 216)
Asymmetric unit:
Pm (0.000, 0.000, 0.000) x4
Zn (0.250, 0.250, 0.250) x4
Pt (0.124, 0.124, 0.624) x16

Material: Tb4InSb2
Method: DFT, PBE
State: optimized geometry

The calculation puts the size of the total moment at 0.000 μB per atom. The uncorrected formation energy comes out at -4.468 eV per formula unit. The calculation puts the total energy at -4.85 eV/atom.

Unit cell a=9.728 b=9.728 c=9.535 alpha=90.00 beta=90.00 gamma=90.00
Space group I4_1/amd (No. 141, origin choice 2)
Asymmetric unit:
Tb (0.000, 0.062, 0.190) x16
In (0.000, 0.250, 0.875) x4
Sb (0.000, 0.000, 0.500) x8

Material: LiSn2Pd2
Method: DFT, PBE
State: optimized geometry

The calculation puts the size of the total moment at 0.000 μB per atom. The calculation puts the total energy at -4.60 eV/atom.

Unit cell a=4.511 b=4.535 c=9.471 alpha=90.00 beta=90.00 gamma=90.00
Space group Pmmn (No. 59, origin choice 2)
Asymmetric unit:
Li (0.250, 0.250, 0.172) x2
Sn (0.250, 0.250, 0.493) x2
Sn (0.250, 0.250, 0.836) x2
Pd (0.250, 0.750, 0.004) x2
Pd (0.250, 0.750, 0.331) x2

Material: AcDy2Ag
Method: DFT, PBE
State: optimized geometry

The calculation puts the size of the total moment at 0.004 μB per atom. The calculation puts the total energy at -3.91 eV/atom.

Unit cell a=5.644 b=5.644 c=3.777 alpha=90.00 beta=90.00 gamma=90.00
Space group P4/mmm (No. 123)
Asymmetric unit:
Ac (0.000, 0.000, 0.000) x1
Dy (0.000, 0.500, 0.500) x2
Ag (0.500, 0.500, 0.000) x1